No. 1
PBE Ta2CuRh, relaxed; uncorrected energy = -35.7 eV/cell; calculated density = 13.9 g/cm3; spin magnetization = 0.00 μB/f.u.; calculated formation energy = -0.13 eV/atom
1.0
4.7992 0.0022 0.0074
3.9269 2.7589 0.0074
0.9774 0.3093 4.7844
Rh Ta Cu
1 2 1
Direct
0.7542 0.7542 0.7564
0.2474 0.2474 0.2796
0.0013 0.0013 0.9773
0.4970 0.4970 0.4868

No. 2
PBE YTa2TcC4, relaxed; uncorrected energy = -158.9 eV/cell; calculated density = 9.7 g/cm3; spin magnetization = 0.00 μB/f.u.; calculated formation energy = -0.25 eV/atom
1.0
-1.9875 -2.4255 -0.8391
5.0621 -1.0150 -2.7768
3.6028 -5.9807 8.7539
C Ta Y Tc
8 4 2 2
Direct
0.0000 0.0000 0.5000
0.7384 0.4768 0.8862
0.2616 0.5232 0.1138
0.7384 0.4768 0.6138
0.2616 0.5232 0.3862
0.5524 0.1048 0.2500
0.0000 0.0000 0.0000
0.4476 0.8952 0.7500
0.3697 0.7395 0.5359
0.6303 0.2605 0.4641
0.6303 0.2605 0.0359
0.3697 0.7395 0.9641
0.1141 0.2282 0.7500
0.8859 0.7718 0.2500
0.8489 0.6978 0.7500
0.1511 0.3022 0.2500

No. 3
PBE Ba2Sr3Li, relaxed; uncorrected energy = -21.1 eV/cell; calculated density = 2.9 g/cm3; spin magnetization = 0.00 μB/f.u.; calculated formation energy = 0.05 eV/atom
1.0
6.2865 0.0019 0.0297
3.1450 9.4713 0.0148
-0.0484 0.0000 10.6039
Sr Ba Li
6 4 2
Direct
0.5000 0.0000 0.2259
0.1751 0.6497 0.2049
0.1751 0.6497 0.7951
0.8249 0.3503 0.2049
0.5000 0.0000 0.7741
0.8249 0.3503 0.7951
0.0000 0.0000 0.5000
0.3323 0.3351 0.5000
0.6677 0.6649 0.5000
0.0000 0.0000 0.0000
0.3502 0.3003 0.0000
0.6498 0.6997 0.0000

No. 4
PBE AcHo2Tm, relaxed; uncorrected energy = -17.5 eV/cell; calculated density = 8.9 g/cm3; spin magnetization = 0.00 μB/f.u.; calculated formation energy = 0.07 eV/atom
1.0
-0.2999 -0.7677 -5.1103
-3.7300 -3.4240 0.7333
-3.4891 3.7249 -0.3549
Tm Ho Ac
1 2 1
Direct
0.5000 0.5000 0.5000
0.0000 0.0000 0.5000
0.0000 0.5000 0.0000
0.5000 0.0000 0.0000

No. 5
PBE Hf4CoPd2, relaxed; uncorrected energy = -57.7 eV/cell; calculated density = 11.1 g/cm3; spin magnetization = 0.00 μB/f.u.; calculated formation energy = -0.06 eV/atom
1.0
4.7027 0.0000 0.0000
0.0000 4.7027 0.0000
2.3514 2.3514 6.6390
Hf Pd Co
4 2 1
Direct
0.8139 0.8139 0.3723
0.0000 0.5000 0.0000
0.1861 0.1861 0.6278
0.5000 0.0000 0.0000
0.6186 0.6186 0.7627
0.3814 0.3814 0.2373
0.0000 0.0000 0.0000

No. 6
PBE Th4SbPd, relaxed; uncorrected energy = -81.5 eV/cell; energy relative to the elements, uncorrected = -0.2960 eV/atom; calculated density = 10.3 g/cm3; spin magnetization = 0.00 μB/f.u.
1.0
5.5375 0.0000 0.0000
0.0000 6.4858 0.0000
-2.7688 0.0000 10.3780
Th Sb Pd
8 2 2
Direct
0.2913 0.5696 0.5826
0.1045 0.8222 0.2089
0.8955 0.3222 0.7911
0.7087 0.5749 0.4174
0.7087 0.0696 0.4174
0.4466 0.8224 0.8933
0.2913 0.0749 0.5826
0.5534 0.3224 0.1067
0.8536 0.8222 0.7071
0.1464 0.3222 0.2929
0.5820 0.8222 0.1640
0.4180 0.3222 0.8360

No. 7
PBE LaTcSe2, relaxed; uncorrected energy = -23.8 eV/cell; energy relative to the elements, uncorrected = -0.3888 eV/atom; calculated density = 8.2 g/cm3; spin magnetization = 0.00 μB/f.u.
1.0
3.3716 0.0000 0.0000
0.0000 3.3716 0.0000
0.0000 0.0000 7.0561
Se La Tc
2 1 1
Direct
0.0000 0.0000 0.4612
0.0000 0.0000 0.0388
0.5000 0.5000 0.7500
0.5000 0.5000 0.2500

No. 8
PBE Tb3DyTh2, relaxed; uncorrected energy = -66.3 eV/cell; calculated density = 9.5 g/cm3; spin magnetization = 0.00 μB/f.u.; calculated formation energy = 0.03 eV/atom
1.0
3.5766 0.0000 0.0000
0.0000 9.9826 1.1417
0.0000 -1.2226 10.6102
Tb Th Dy
6 4 2
Direct
0.2500 0.3760 0.7494
0.2500 0.8683 0.4175
0.7500 0.6240 0.2506
0.7500 0.6325 0.9176
0.7500 0.1317 0.5825
0.2500 0.3675 0.0824
0.2500 0.3781 0.4179
0.7500 0.6219 0.5821
0.7500 0.1211 0.9178
0.2500 0.8789 0.0822
0.7500 0.1242 0.2495
0.2500 0.8758 0.7505

- Which value of spin magnetization does entry 5 give?
  0.00 μB/f.u.

- Which value of calculated density does entry 8 give?
  9.5 g/cm3